# AlTlPb2 (PBE, optimized geometry)
# * size of the total moment: 0.00 μB per cell
# * uncorrected energy: -0.1201 hartree per atom
data_AlTlPb2
_chemical_formula_sum 'Al1 Tl1 Pb2'
_cell_length_a 3.533
_cell_length_b 4.091
_cell_length_c 7.905
_cell_angle_alpha 90.00
_cell_angle_beta 90.01
_cell_angle_gamma 90.00
_space_group_name_H-M_alt 'P 1 2/m 1'
_space_group_IT_number 10
_space_group_name_Hall '-P 2y'
loop_
_atom_site_label
_atom_site_fract_x
_atom_site_fract_y
_atom_site_fract_z
_atom_site_occupancy
Al1 0.000 0.000 0.000 1
Tl1 0.000 0.000 0.500 1
Pb1 0.498 0.500 0.790 1